# 1
! FeTc3 PBE relaxed; values from VASP
&SYSTEM
  ibrav = 0, nat = 4, ntyp = 2
/
ATOMIC_SPECIES
Fe 55.84 Fe.upf
Tc 98.00 Tc.upf
CELL_PARAMETERS angstrom
2.687 0.000 0.000
0.000 2.687 0.000
0.000 0.000 7.579
ATOMIC_POSITIONS angstrom
Fe 0.000 0.000 0.000
Tc 0.000 0.000 3.790
Tc 1.343 1.343 1.779
Tc 1.343 1.343 5.800
! Magnetization, μB/cell: 1.17
! V, Å³ per atom: 13.676
! Formation energy, meV per atom: 96

=====

# 2
! FeTc2 PBE relaxed; values from VASP
&SYSTEM
  ibrav = 0, nat = 6, ntyp = 2
/
ATOMIC_SPECIES
Fe 55.84 Fe.upf
Tc 98.00 Tc.upf
CELL_PARAMETERS angstrom
-1.322 1.322 11.702
1.322 -1.322 11.702
1.322 1.322 -11.702
ATOMIC_POSITIONS angstrom
Fe 1.322 0.661 2.925
Fe 0.000 0.661 8.776
Tc 1.322 -0.661 7.009
Tc 1.322 -0.661 10.543
Tc 0.000 1.982 1.158
Tc 0.000 1.982 4.692
! Magnetization, μB/cell: 0.87
! V, Å³ per atom: 13.626
! Formation energy, meV per atom: 286